Entry 1:
# Sm2Sn4Pd3Rh

A relaxed structure of Sm2Sn4Pd3Rh (PBE, the Alexandria database).

Computed properties:
Space group: No. 115

CIF file:
```
data_Sm2Sn4Pd3Rh
_chemical_formula_sum 'Sm2 Sn4 Pd3 Rh1'
_cell_length_a 4.487
_cell_length_b 4.487
_cell_length_c 10.998
_cell_angle_alpha 90.00
_cell_angle_beta 90.00
_cell_angle_gamma 90.00
_symmetry_space_group_name_H-M 'P 1'
_symmetry_Int_Tables_number 1
loop_
_symmetry_equiv_pos_as_xyz
'x,y,z'
loop_
_atom_site_label
_atom_site_fract_x
_atom_site_fract_y
_atom_site_fract_z
_atom_site_occupancy
Sm1 0.500 0.000 0.260 1
Sm2 0.000 0.500 0.740 1
Sn1 0.500 0.500 0.000 1
Sn2 0.000 0.000 0.000 1
Sn3 0.500 0.000 0.628 1
Sn4 0.000 0.500 0.372 1
Pd1 0.000 0.000 0.500 1
Pd2 0.500 0.000 0.863 1
Pd3 0.000 0.500 0.137 1
Rh1 0.500 0.500 0.500 1
```


Entry 2:
# Sm2Sn3PdRh4

A relaxed structure of Sm2Sn3PdRh4 (PBE, the Alexandria database).

Computed properties:
Space group: No. 115

CIF file:
```
data_Sm2Sn3PdRh4
_chemical_formula_sum 'Sm2 Sn3 Pd1 Rh4'
_cell_length_a 4.090
_cell_length_b 4.090
_cell_length_c 12.373
_cell_angle_alpha 90.00
_cell_angle_beta 90.00
_cell_angle_gamma 90.00
_symmetry_space_group_name_H-M 'P 1'
_symmetry_Int_Tables_number 1
loop_
_symmetry_equiv_pos_as_xyz
'x,y,z'
loop_
_atom_site_label
_atom_site_fract_x
_atom_site_fract_y
_atom_site_fract_z
_atom_site_occupancy
Sm1 0.500 0.000 0.280 1
Sm2 0.000 0.500 0.720 1
Sn1 0.000 0.000 0.500 1
Sn2 0.500 0.000 0.869 1
Sn3 0.000 0.500 0.131 1
Pd1 0.500 0.500 0.500 1
Rh1 0.500 0.500 0.000 1
Rh2 0.000 0.000 0.000 1
Rh3 0.500 0.000 0.658 1
Rh4 0.000 0.500 0.342 1
```


no.,E (eV/atom),Fermi-level density of states (states/eV/cell)
1,-5.558,6.61
2,-6.263,6.48